{"formula": "Li2CoNiO4", "functional": "PBE+U", "state": "optimized geometry", "e_tot_ev_per_atom": -5.217, "magmom_total_mub_per_fu": 3.0, "de_polymorph_mev_per_atom": 61, "sg": "I-4m2, No. 119", "cell": [[4.027, 0.000, 0.000], [0.000, 4.027, 0.000], [0.000, 0.000, 8.480]], "species": ["Li", "Li", "Li", "Li", "Co", "Co", "Ni", "Ni", "O", "O", "O", "O", "O", "O", "O", "O"], "fractional_positions": [[0.000, 0.000, 0.000], [0.000, 0.500, 0.250], [0.500, 0.000, 0.750], [0.500, 0.500, 0.500], [0.000, 0.500, 0.750], [0.500, 0.000, 0.250], [0.000, 0.000, 0.500], [0.500, 0.500, 0.000], [0.000, 0.000, 0.268], [0.000, 0.000, 0.732], [0.000, 0.500, 0.523], [0.000, 0.500, 0.977], [0.500, 0.000, 0.023], [0.500, 0.000, 0.477], [0.500, 0.500, 0.232], [0.500, 0.500, 0.768]]}